No. 1
A plane-wave DFT calculation with PBEsol was carried out for a relaxed LiMg2TlCl crystal.

abc: 4.967 4.967 5.863
angles: 90.00 90.00 90.00
Space group P4/mmm (No. 123)
Unique sites:
Li (0.000, 0.000, 0.000) x1
Mg (0.000, 0.500, 0.500) x2
Tl (0.500, 0.500, 0.000) x1
Cl (0.500, 0.500, 0.500) x1

No. 2
A plane-wave DFT calculation with PBEsol was carried out for a relaxed LiMnCl crystal.

Calculated values
* E above lowest polymorph: 0 meV per atom

abc: 3.1761 3.1761 5.7793
angles: 90.00 90.00 120.00
Space group P3m1 (No. 156)
Unique sites:
Li (0.0000, 0.0000, 0.0000) x1
Mn (0.3333, 0.6667, 0.6059) x1
Cl (0.6667, 0.3333, 0.2781) x1

No. 3
A plane-wave DFT calculation with PBEsol was carried out for a relaxed LiMnCl crystal.

Calculated values
* E above lowest polymorph: 42 meV per atom

abc: 3.274 5.395 11.776
angles: 90.00 90.00 90.00
Space group Fmm2 (No. 42)
Unique sites:
Li (0.000, 0.000, 0.000) x4
Mn (0.000, 0.000, 0.692) x4
Cl (0.000, 0.000, 0.358) x4

No. 4
A plane-wave DFT calculation with PBEsol was carried out for a relaxed LiMnSCl2 crystal.

abc: 4.782 4.782 4.559
angles: 90.00 90.00 90.00
Space group P4/mmm (No. 123)
Unique sites:
Li (0.000, 0.000, 0.000) x1
Mn (0.500, 0.500, 0.500) x1
S (0.500, 0.500, 0.000) x1
Cl (0.000, 0.500, 0.500) x2

No. 5
A plane-wave DFT calculation with PBEsol was carried out for a relaxed LiMoCl2 crystal.

Calculated values
* E above lowest polymorph: 0 meV per atom

abc: 3.0633 3.0633 23.3346
angles: 90.00 90.00 120.00
Space group R-3m (No. 166, hexagonal axes)
Unique sites:
Li (0.0000, 0.0000, 0.0000) x3
Mo (0.0000, 0.0000, 0.5000) x3
Cl (0.0000, 0.0000, 0.4001) x6

No. 6
A plane-wave DFT calculation with PBEsol was carried out for a relaxed Li4MoCl crystal.

abc: 7.502 7.502 7.502
angles: 90.00 90.00 90.00
Space group F-43m (No. 216)
Unique sites:
Li (0.123, 0.123, 0.377) x16
Mo (0.250, 0.250, 0.750) x4
Cl (0.000, 0.000, 0.000) x4

No. 7
A plane-wave DFT calculation with PBEsol was carried out for a relaxed LiMoCl3 crystal.

abc: 4.527 4.527 4.527
angles: 90.00 90.00 90.00
Space group Pm-3m (No. 221)
Unique sites:
Li (0.000, 0.000, 0.000) x1
Mo (0.500, 0.500, 0.500) x1
Cl (0.000, 0.000, 0.500) x3

No. 8
A plane-wave DFT calculation with PBEsol was carried out for a relaxed Li2MoCl crystal.

Calculated values
* E above lowest polymorph: 69 meV per atom

abc: 4.735 9.026 2.769
angles: 90.00 90.00 90.00
Space group Cmmm (No. 65)
Unique sites:
Li (0.250, 0.250, 0.000) x4
Mo (0.000, 0.000, 0.500) x2
Cl (0.000, 0.500, 0.500) x2

Number 1: formation energy from raw total energies -1 kJ per mole of atoms, magnetization 0.00 Bohr magnetons per cell. Number 2: formation energy from raw total energies -24 kJ per mole of atoms, magnetization 4.22 Bohr magnetons per cell. Number 3: formation energy from raw total energies -20 kJ per mole of atoms, magnetization 17.20 Bohr magnetons per cell. Number 4: formation energy from raw total energies -73 kJ per mole of atoms, magnetization 4.00 Bohr magnetons per cell. Number 5: formation energy from raw total energies -56 kJ per mole of atoms, magnetization 0.00 Bohr magnetons per cell. Number 6: formation energy from raw total energies 53 kJ per mole of atoms, magnetization 12.44 Bohr magnetons per cell. Number 7: formation energy from raw total energies -14 kJ per mole of atoms, magnetization 4.00 Bohr magnetons per cell. Number 8: formation energy from raw total energies 13 kJ per mole of atoms, magnetization 0.00 Bohr magnetons per cell.